# 1
## Y4Er2Sc3 (GGA-PBE)

Data for Y4Er2Sc3 after structural relaxation.

a b c (Å): 4.842 7.781 7.733
angles (deg): 107.42 108.24 90.00
Atoms (fractional coordinates):
1 Y 0.776 0.667 0.552
2 Y 0.552 0.332 0.104
3 Y 0.448 0.668 0.896
4 Y 0.224 0.333 0.448
5 Er 0.335 0.001 0.671
6 Er 0.665 0.999 0.329
7 Sc 0.110 0.670 0.221
8 Sc 0.890 0.330 0.779
9 Sc 0.000 0.000 0.000

Summary:
For the density of states at the Fermi level, the calculation gives 13.75 states/eV per cell. Its space group is C2/m.

# 2
## CaCd4Mo (GGA-PBE)

Data for CaCd4Mo after structural relaxation.

a b c (Å): 5.762 5.762 5.762
angles (deg): 60.00 60.00 60.00
Each line ends with the local moment (μB).
Atoms (fractional coordinates):
1 Ca 0.000 0.000 0.000  0.04
2 Cd 0.376 0.376 0.873  0.00
3 Cd 0.873 0.376 0.376  0.00
4 Cd 0.376 0.873 0.376  0.00
5 Cd 0.376 0.376 0.376  0.00
6 Mo 0.750 0.750 0.750  2.79

Summary:
For the density of states at the Fermi level, the calculation gives 3.39 states/eV per cell. Its space group is F-43m.

# 3
## PuV2Ni (GGA-PBE)

Data for PuV2Ni after structural relaxation.

a b c (Å): 2.914 4.443 4.443
angles (deg): 90.00 90.00 90.00
Each line ends with the local moment (μB).
Atoms (fractional coordinates):
1 Pu 0.500 0.500 0.500  4.00
2 V 0.000 0.500 0.000  -0.25
3 V 0.000 0.000 0.500  -0.25
4 Ni 0.500 0.000 0.000  0.02

Summary:
For the density of states at the Fermi level, the calculation gives 7.08 states/eV per cell. Its space group is P4/mmm.

# 4
## Sn5Sb4Pb (GGA-PBE)

Data for Sn5Sb4Pb after structural relaxation.

a b c (Å): 5.607 9.275 13.314
angles (deg): 90.00 90.00 90.00
Atoms (fractional coordinates):
1 Sb 0.407 0.251 0.500
2 Sb 0.013 0.000 0.739
3 Sb 0.987 0.500 0.239
4 Sb 0.407 0.749 0.500
5 Sb 0.013 0.000 0.261
6 Sb 0.593 0.249 0.000
7 Sb 0.987 0.500 0.761
8 Sb 0.593 0.751 0.000
9 Sn 0.697 0.753 0.320
10 Sn 0.303 0.253 0.820
11 Sn 0.697 0.247 0.680
12 Sn 0.697 0.247 0.320
13 Sn 0.080 0.000 0.500
14 Sn 0.303 0.747 0.180
15 Sn 0.303 0.747 0.820
16 Sn 0.303 0.253 0.180
17 Sn 0.697 0.753 0.680
18 Sn 0.920 0.500 0.000
19 Pb 0.965 0.000 0.000
20 Pb 0.035 0.500 0.500

Summary:
For the density of states at the Fermi level, the calculation gives 6.53 states/eV per cell. Its space group is Pmmn.

# 5
## Sm2Y3Er6Tm (GGA-PBE)

Data for Sm2Y3Er6Tm after structural relaxation.

a b c (Å): 6.131 6.131 11.736
angles (deg): 94.98 94.98 119.95
Atoms (fractional coordinates):
1 Er 0.916 0.583 0.750
2 Er 0.583 0.916 0.750
3 Er 0.417 0.084 0.250
4 Er 0.751 0.751 0.250
5 Er 0.084 0.417 0.250
6 Er 0.249 0.249 0.750
7 Y 0.500 0.500 0.500
8 Y 0.166 0.834 0.500
9 Y 0.834 0.166 0.500
10 Tm 0.000 0.000 0.000
11 Sm 0.667 0.333 0.000
12 Sm 0.333 0.667 0.000

Summary:
For the density of states at the Fermi level, the calculation gives 16.74 states/eV per cell. Its space group is C2/m.

# 6
## Ta2TeAs (GGA-PBE)

Data for Ta2TeAs after structural relaxation.

a b c (Å): 4.965 4.965 5.021
angles (deg): 75.97 75.97 39.84
Atoms (fractional coordinates):
1 Te 0.495 0.495 0.543
2 Ta 0.992 0.992 0.061
3 Ta 0.751 0.751 0.735
4 As 0.262 0.262 0.162

Summary:
For the density of states at the Fermi level, the calculation gives 2.27 states/eV per cell. Its space group is Cm.

| no. | electronic total energy (eV/atom) |
| --- | --- |
| 1 | -5.94 |
| 2 | -2.51 |
| 3 | -9.41 |
| 4 | -3.92 |
| 5 | -5.03 |
| 6 | -7.97 |